(1)
Compound: Tb2PuHg
Source: Alexandria via LeMat-Bulk
Functional: GGA-PBE
Structure: optimized geometry

Values from the calculation:
The space group is R3m. The calculation puts the energy above the most stable polymorph in this dataset at 65.6 meV per atom. As for the energy of formation: -0.072 eV per atom. As for the crystal system: trigonal. The value obtained for the total magnetization is 6.562 μB/f.u.

The structure in POSCAR format:
```
Tb2PuHg
1.0
3.600 0.000 0.000
1.800 3.118 0.000
1.800 1.039 10.376
Pu Tb Hg
1 2 1
Direct
0.500 0.500 0.501
0.078 0.078 0.766
0.256 0.256 0.233
0.667 0.667 0.000
```


(2)
Compound: Tb2PuHg5
Source: Alexandria via LeMat-Bulk
Functional: GGA-PBE
Structure: optimized geometry

Values from the calculation:
The space group is I4/mmm. As for the energy of formation: -0.310 eV per atom. As for the crystal system: tetragonal. The value obtained for the total magnetization is 5.859 μB/f.u.

The structure in POSCAR format:
```
Tb2PuHg5
1.0
5.327 0.000 0.000
0.000 5.327 0.000
-2.664 -2.664 7.144
Hg Tb Pu
5 2 1
Direct
0.500 0.500 0.000
0.373 0.873 0.747
0.873 0.373 0.747
0.627 0.127 0.253
0.127 0.627 0.253
0.264 0.264 0.529
0.736 0.736 0.471
0.000 0.000 0.000
```